No. 1
Compound: CrCo2AgAs
Source: Alexandria
Functional: PBE
Structure: relaxed

Unit cell a=4.3135 b=4.3135 c=4.8102 alpha=90.00 beta=90.00 gamma=90.00
Closest atoms and distances in Å follow each position.
Space group P4/mmm (No. 123)
Inequivalent atoms, fractional coordinates:
Cr1 0.0000 0.0000 0.0000  4 Ag 3.05, 8 Co 3.23
Co1 0.0000 0.5000 0.5000  2 As 2.16
Ag1 0.5000 0.5000 0.0000  2 As 2.41
As1 0.5000 0.5000 0.5000  4 Co 2.16, 2 Ag 2.41

Values from the calculation:
Formation energy in eV/atom: 0.841
DFT total energy in eV per atom: -5.426

=====

No. 2
Compound: ZrIn
Source: Alexandria
Functional: PBE
Structure: relaxed

Unit cell a=3.1210 b=5.4914 c=5.4726 alpha=90.00 beta=90.00 gamma=90.00
Closest atoms and distances in Å follow each position.
Space group Pmmn (No. 59, origin choice 2)
Inequivalent atoms, fractional coordinates:
Zr1 0.2500 0.2500 0.0740  6 In 3.10-3.32, 6 Zr 3.12-3.26
In1 0.2500 0.7500 0.4162  6 Zr 3.10-3.32, 6 In 3.12-3.29

Values from the calculation:
Formation energy in eV/atom: -0.084
DFT total energy in eV per atom: -5.728

=====

No. 3
Compound: LiPmTh2
Source: Alexandria
Functional: PBE
Structure: relaxed

Unit cell a=3.5405 b=3.5405 c=9.4219 alpha=90.00 beta=90.00 gamma=90.00
Closest atoms and distances in Å follow each position.
Space group P4/mmm (No. 123)
Inequivalent atoms, fractional coordinates:
Li1 0.0000 0.0000 0.0000  8 Th 3.28, 4 Li 3.54
Pm1 0.0000 0.0000 0.5000  4 Pm 3.54, 8 Th 3.61
Th1 0.5000 0.5000 0.2243  4 Li 3.28, 4 Th 3.54, 4 Pm 3.61

Values from the calculation:
Formation energy in eV/atom: 0.187
DFT total energy in eV per atom: -5.189

=====

No. 4
Compound: Na2AgPt
Source: Alexandria
Functional: PBE
Structure: relaxed

Unit cell a=6.8028 b=6.8028 c=6.8028 alpha=90.00 beta=90.00 gamma=90.00
Closest atoms and distances in Å follow each position.
Space group Fm-3m (No. 225)
Inequivalent atoms, fractional coordinates:
Na1 0.2500 0.2500 0.2500  4 Pt 2.95, 4 Ag 2.95
Ag1 0.0000 0.0000 0.0000  8 Na 2.95
Pt1 0.0000 0.0000 0.5000  8 Na 2.95

Values from the calculation:
Formation energy in eV/atom: 0.056
DFT total energy in eV per atom: -2.827

=====

No. 5
Compound: Pm6PuCd5
Source: Alexandria
Functional: PBE
Structure: relaxed

Unit cell a=5.4185 b=7.7741 c=16.1952 alpha=90.00 beta=90.00 gamma=90.00
Closest atoms and distances in Å follow each position.
Space group Immm (No. 71)
Inequivalent atoms, fractional coordinates:
Pm1 0.0000 0.2393 0.0000  6 Cd 3.29-3.31, 2 Pu 3.38
Pm2 0.0000 0.2518 0.3331  7 Cd 3.30-3.40, 1 Pu 3.34
Pu1 0.0000 0.0000 0.5000  8 Pm 3.34-3.38
Cd1 0.0000 0.0000 0.1689  8 Pm 3.30-3.33
Cd2 0.0000 0.5000 0.1603  8 Pm 3.29-3.40
Cd3 0.0000 0.5000 0.5000  8 Pm 3.29-3.32

Values from the calculation:
Formation energy in eV/atom: -0.219
DFT total energy in eV per atom: -4.170

=====

No. 6
Compound: Nb6IrW
Source: Alexandria
Functional: PBE
Structure: relaxed

Unit cell a=4.5959 b=6.5237 c=9.2419 alpha=90.00 beta=90.00 gamma=90.00
Closest atoms and distances in Å follow each position.
Space group Amm2 (No. 38)
Inequivalent atoms, fractional coordinates:
Nb1 0.0000 0.0000 0.9998  8 Nb 2.82-2.84
Nb2 0.0000 0.2475 0.7502  2 W 2.81, 4 Nb 2.82-2.84, 2 Ir 2.82-2.84
Nb3 0.5000 0.0000 0.2499  8 Nb 2.83
Nb4 0.5000 0.2500 0.0000  4 Nb 2.82-2.83, 2 Ir 2.82, 2 W 2.82-2.84
Ir1 0.0000 0.0000 0.5003  8 Nb 2.82-2.84
W1 0.5000 0.0000 0.7512  8 Nb 2.81-2.84

Values from the calculation:
Formation energy in eV/atom: -0.216
DFT total energy in eV per atom: -10.495

=====

- Look up the formation energy of the sixth one.
  -0.216 eV/atom

=====

- formation energy of number 2 (ZrIn)?
  -0.084 eV/atom

=====

- Which of these has the lowest formation energy?
  Pm6PuCd5

=====

- The lowest DFT total energy belongs to which entry?
  Nb6IrW